Entry 1:
Compound: PrPuBi
Source: the Alexandria database
Functional: GGA-PBE
Structure: optimized geometry

mass density = 10.1 g cm⁻³
energy = -72.051 eV/cell

CIF file:
```
data_PrPuBi
_cell_length_a 8.8857
_cell_length_b 8.8857
_cell_length_c 4.2889
_cell_angle_alpha 90.00
_cell_angle_beta 90.00
_cell_angle_gamma 120.00
_space_group_name_H-M_alt 'P -6 2 m'
_space_group_IT_number 189
_space_group_name_Hall 'P -6 -2'
loop_
_atom_site_label
_atom_site_fract_x
_atom_site_fract_y
_atom_site_fract_z
Pr1 0.0000 0.7283 0.0000
Pu1 0.0000 0.3986 0.5000
Bi1 0.0000 0.0000 0.5000
Bi2 0.3333 0.6667 0.0000
```

---

Entry 2:
Compound: Pm3Pr2Y8
Source: the Alexandria database
Functional: GGA-PBE
Structure: optimized geometry

mass density = 5.2 g cm⁻³
energy = -145.138 eV/cell

CIF file:
```
data_Pm3Pr2Y8
_cell_length_a 14.905
_cell_length_b 9.257
_cell_length_c 6.967
_cell_angle_alpha 90.00
_cell_angle_beta 108.29
_cell_angle_gamma 90.00
_space_group_name_H-M_alt 'C 1 2/m 1'
_space_group_IT_number 12
loop_
_space_group_symop_operation_xyz
'x,y,z'
'-x,-y,-z'
'-x,y,-z'
'x,-y,z'
'x+1/2,y+1/2,z'
'-x+1/2,-y+1/2,-z'
'-x+1/2,y+1/2,-z'
'x+1/2,-y+1/2,z'
loop_
_atom_site_label
_atom_site_fract_x
_atom_site_fract_y
_atom_site_fract_z
Pm1 0.000 0.000 0.000
Pm2 0.000 0.174 0.500
Pr1 0.215 0.000 0.422
Y1 0.084 0.500 0.728
Y2 0.118 0.320 0.176
Y3 0.191 0.000 0.895
```

---

Entry 3:
Compound: LaDy8In2
Source: the Alexandria database
Functional: GGA-PBE
Structure: optimized geometry

mass density = 8.0 g cm⁻³
energy = -95.779 eV/cell

CIF file:
```
data_LaDy8In2
_cell_length_a 18.931
_cell_length_b 6.858
_cell_length_c 5.324
_cell_angle_alpha 90.00
_cell_angle_beta 92.75
_cell_angle_gamma 90.00
_space_group_name_H-M_alt 'C 1 2/m 1'
_space_group_IT_number 12
loop_
_space_group_symop_operation_xyz
'x,y,z'
'-x,-y,-z'
'-x,y,-z'
'x,-y,z'
'x+1/2,y+1/2,z'
'-x+1/2,-y+1/2,-z'
'-x+1/2,y+1/2,-z'
'x+1/2,-y+1/2,z'
loop_
_atom_site_label
_atom_site_fract_x
_atom_site_fract_y
_atom_site_fract_z
La1 0.000 0.000 0.000
Dy1 0.046 0.500 0.240
Dy2 0.136 0.263 0.729
Dy3 0.199 0.000 0.235
In1 0.212 0.500 0.246
```

---

| no. | formation energy (meV/atom) |
| --- | --- |
| 1 | -341.5 |
| 2 | 227.3 |
| 3 | -60.8 |